Record 1
Compound: SrBeNbAu2
Source: Alexandria via LeMat-Bulk
Functional: PBE-GGA
Structure: relaxed

Unit cell a=4.688 b=4.651 c=4.688 alpha=90.00 beta=90.00 gamma=90.00
Sites, in units of the cell vectors:
Au  0.000  0.000  0.500
Au  0.500  0.000  0.000
Sr  0.500  0.500  0.500
Nb  0.000  0.500  0.000
Be  0.000  0.000  0.000

Computed properties:
- DFT formation energy (eV/atom) = 0.11
- crystal system = tetragonal

Record 2
Compound: Re4B2Mo
Source: Alexandria via LeMat-Bulk
Functional: PBE-GGA
Structure: relaxed

Unit cell a=3.808 b=3.810 c=6.611 alpha=106.75 beta=90.00 gamma=90.00
Sites, in units of the cell vectors:
Re  0.000  0.676  0.351
Re  0.500  0.829  0.658
Re  0.000  0.324  0.649
Re  0.500  0.171  0.342
B  0.500  0.430  0.859
B  0.500  0.570  0.141
Mo  0.000  0.000  0.000

Computed properties:
- distance to the lowest polymorph of the same formula (meV/atom) = 201
- DFT formation energy (eV/atom) = 0.22
- crystal system = orthorhombic

Record 3
Compound: KCd2Ag
Source: Alexandria via LeMat-Bulk
Functional: PBE-GGA
Structure: relaxed

Unit cell a=5.487 b=5.487 c=10.550 alpha=74.93 beta=74.93 gamma=90.00
Sites, in units of the cell vectors:
K  0.500  0.500  0.000
K  0.250  0.750  0.500
Ag  0.000  0.000  0.000
Ag  0.750  0.250  0.500
Cd  0.873  0.625  0.250
Cd  0.875  0.127  0.750
Cd  0.375  0.123  0.750
Cd  0.877  0.125  0.250

Computed properties:
- distance to the lowest polymorph of the same formula (meV/atom) = 143
- DFT formation energy (eV/atom) = 0.07
- crystal system = tetragonal

Record 4
Compound: Y2PbAu
Source: Alexandria via LeMat-Bulk
Functional: PBE-GGA
Structure: relaxed

Unit cell a=8.977 b=8.977 c=8.977 alpha=25.04 beta=25.04 gamma=25.04
Sites, in units of the cell vectors:
Au  0.250  0.250  0.250
Pb  0.750  0.750  0.750
Y  0.989  0.989  0.989
Y  0.511  0.511  0.511

Computed properties:
- DFT formation energy (eV/atom) = -0.53
- crystal system = trigonal

Record 5
Compound: PuHPb
Source: Alexandria via LeMat-Bulk
Functional: PBE-GGA
Structure: relaxed

Unit cell a=3.227 b=3.863 c=11.358 alpha=102.51 beta=90.00 gamma=114.69
Sites, in units of the cell vectors:
Pb  0.414  0.828  0.364
Pb  0.586  0.172  0.636
H  0.891  0.782  0.037
H  0.109  0.218  0.963
Pu  0.641  0.281  0.127
Pu  0.359  0.719  0.873

Computed properties:
- distance to the lowest polymorph of the same formula (meV/atom) = 132
- crystal system = monoclinic

Record 6
Compound: Hf2Tc2Mo
Source: Alexandria via LeMat-Bulk
Functional: PBE-GGA
Structure: relaxed

Unit cell a=4.154 b=4.154 c=6.382 alpha=71.01 beta=71.01 gamma=90.00
Sites, in units of the cell vectors:
Hf  0.750  0.250  0.500
Hf  0.250  0.750  0.500
Tc  0.600  0.600  0.799
Tc  0.400  0.400  0.201
Mo  0.000  0.000  0.000

Computed properties:
- distance to the lowest polymorph of the same formula (meV/atom) = 845
- DFT formation energy (eV/atom) = 0.79
- crystal system = tetragonal

Record 7
Compound: SrTa3
Source: Alexandria via LeMat-Bulk
Functional: PBE-GGA
Structure: relaxed

Unit cell a=6.375 b=6.375 c=4.725 alpha=90.00 beta=90.00 gamma=101.89
Sites, in units of the cell vectors:
Ta  0.363  0.954  0.750
Ta  0.084  0.916  0.250
Ta  0.046  0.637  0.750
Ta  0.954  0.363  0.250
Ta  0.916  0.084  0.750
Ta  0.637  0.046  0.250
Sr  0.416  0.584  0.250
Sr  0.584  0.416  0.750

Computed properties:
- DFT formation energy (eV/atom) = 0.92
- crystal system = orthorhombic

Record 8
Compound: YHfCrBi2
Source: Alexandria via LeMat-Bulk
Functional: PBE-GGA
Structure: relaxed

Unit cell a=5.593 b=5.573 c=5.593 alpha=90.00 beta=90.00 gamma=90.00
Sites, in units of the cell vectors:
Y  0.000  0.500  0.000
Cr  0.500  0.500  0.500
Bi  0.000  0.000  0.500
Bi  0.500  0.000  0.000
Hf  0.000  0.000  0.000

Computed properties:
- DFT formation energy (eV/atom) = 0.83
- crystal system = tetragonal

Quick rundown of density of states at the Fermi level, same order as above: 0.85; 0.64; 0.60; 0.91; 2.18; 2.10; 1.26; 0.82 states/eV/atom
Quick rundown of volume, same order as above: 102.2; 91.8; 295.4; 114.0; 124.9; 97.8; 187.9; 174.3 Å³ per cell